First-principles (PBE) data for a relaxed Er4BiPb crystal, as listed in Alexandria via LeMat-Bulk.

The calculation puts the uncorrected energy at -53.86 eV per cell. The value obtained for the distance to the lowest polymorph of the same formula is 0.1963 eV per atom. As for the size of the total moment: 0.0 μB per formula unit. The calculated formation energy is -0.181 eV/atom. The density is 9430 kg/m³.

POSCAR file:
```
Er4BiPb
1.0
8.8940 0.0000 0.0000
0.0000 5.1458 0.0000
-2.9426 0.0000 8.3506
Er Bi Pb
8 2 2
direct
0.1245 0.0000 0.3737
0.1261 0.5000 0.8781
0.3739 0.0000 0.1219
0.3755 0.5000 0.6263
0.6245 0.5000 0.3737
0.6261 0.0000 0.8781
0.8739 0.5000 0.1219
0.8755 0.0000 0.6263
0.0000 0.5000 0.5000
0.5000 0.0000 0.5000
0.0000 0.0000 0.0000
0.5000 0.5000 0.0000
```